[1]
VASP calculation (GGA-PBEsol) on a geometry-optimized HfAl3Au structure.

Computed properties:
M_tot   0.00 μB/f.u.
ΔE_f   1263.1 meV/atom
SG   Pm-3m (221)
Volume   131.5 Å³/cell

extended XYZ file:
```
5
Lattice="5.086 0.000 0.000 0.000 5.086 0.000 0.000 0.000 5.086" Properties=species:S:1:pos:R:3 pbc="T T T"
Hf 0.000 0.000 0.000
Al 0.000 0.000 2.543
Al 0.000 2.543 0.000
Al 2.543 0.000 0.000
Au 2.543 2.543 2.543
```

[2]
VASP calculation (GGA-PBEsol) on a geometry-optimized Pt3ClF structure.

Computed properties:
M_tot   0.00 μB/f.u.
SG   Pm-3m (221)
Raw formation energy   1079 meV/atom
Volume   87.6 Å³/cell

extended XYZ file:
```
5
Lattice="4.440 0.000 0.000 0.000 4.440 0.000 0.000 0.000 4.440" Properties=species:S:1:pos:R:3 pbc="T T T"
Pt 0.000 0.000 2.220
Pt 0.000 2.220 0.000
Pt 2.220 0.000 0.000
Cl 0.000 0.000 0.000
F 2.220 2.220 2.220
```

[3]
VASP calculation (GGA-PBEsol) on a geometry-optimized Nd5CuSe8 structure.

Computed properties:
M_tot   0.00 μB/f.u.
SG   I-4 (82)
Raw formation energy   -1660 meV/atom
Volume   333.3 Å³/cell

extended XYZ file:
```
14
Lattice="-4.319 4.319 4.468 4.319 -4.319 4.468 4.319 4.319 -4.468" Properties=species:S:1:pos:R:3 pbc="T T T"
Nd 0.000 0.000 0.000
Nd 5.414 2.174 -1.057
Nd 2.174 3.223 1.057
Nd -1.095 2.144 3.410
Nd 2.144 1.095 5.525
Cu 4.319 0.000 2.234
Se 2.769 0.686 -0.571
Se 2.637 3.746 -1.872
Se 1.682 0.572 2.595
Se 3.633 -1.550 5.038
Se 4.891 2.637 1.872
Se 0.686 5.868 0.571
Se 1.550 3.633 3.897
Se -0.572 1.682 6.340
```

[4]
VASP calculation (GGA-PBEsol) on a geometry-optimized LiCd3B structure.

Computed properties:
M_tot   0.00 μB/f.u.
ΔE_f   1142.3 meV/atom
SG   Pm-3m (221)
Volume   101.6 Å³/cell

extended XYZ file:
```
5
Lattice="4.666 0.000 0.000 0.000 4.666 0.000 0.000 0.000 4.666" Properties=species:S:1:pos:R:3 pbc="T T T"
Li 0.000 0.000 0.000
Cd 0.000 0.000 2.333
Cd 0.000 2.333 0.000
Cd 2.333 0.000 0.000
B 2.333 2.333 2.333
```

[5]
VASP calculation (GGA-PBEsol) on a geometry-optimized FeTc3As structure.

Computed properties:
M_tot   0.67 μB/f.u.
ΔE_f   1319.0 meV/atom
SG   Pm-3m (221)
Volume   81.8 Å³/cell

extended XYZ file:
```
5
Lattice="4.340 0.000 0.000 0.000 4.340 0.000 0.000 0.000 4.340" Properties=species:S:1:pos:R:3 pbc="T T T"
Fe 0.000 0.000 0.000
Tc 0.000 0.000 2.170
Tc 0.000 2.170 0.000
Tc 2.170 0.000 0.000
As 2.170 2.170 2.170
```

[6]
VASP calculation (GGA-PBEsol) on a geometry-optimized TaF5 structure.

Computed properties:
M_tot   0.00 μB/f.u.
Energy above the lowest structure with this stoichiometry   0.000 eV/f.u.
SG   C2/m (12)
Raw formation energy   -3205 meV/atom
Volume   356.8 Å³/cell

extended XYZ file:
```
24
Lattice="4.844 -7.247 0.000 4.844 7.247 0.000 -0.597 0.000 5.082" Properties=species:S:1:pos:R:3 pbc="T T T"
Ta 4.844 4.328 0.000
Ta 2.043 0.000 3.814
Ta 7.048 0.000 1.267
Ta 4.844 -4.328 0.000
F 0.642 1.373 4.474
F 3.407 4.606 3.432
F 0.992 0.000 2.263
F 3.615 3.105 0.631
F 0.642 -1.373 4.474
F 3.151 1.386 3.314
F 5.684 4.606 1.649
F 3.182 0.000 0.529
F 5.476 3.105 4.450
F 3.151 -1.386 3.314
F 5.940 1.386 1.767
F 3.615 -3.105 0.631
F 5.909 0.000 4.552
F 3.407 -4.606 3.432
F 5.940 -1.386 1.767
F 8.448 1.373 0.607
F 5.476 -3.105 4.450
F 8.099 0.000 2.819
F 5.684 -4.606 1.649
F 8.448 -1.373 0.607
```

[7]
VASP calculation (GGA-PBEsol) on a geometry-optimized CsCrGa3 structure.

Computed properties:
M_tot   4.74 μB/f.u.
ΔE_f   1801.4 meV/atom
SG   Pm-3m (221)
Volume   185.7 Å³/cell

extended XYZ file:
```
5
Lattice="5.705 0.000 0.000 0.000 5.705 0.000 0.000 0.000 5.705" Properties=species:S:1:pos:R:3 pbc="T T T"
Cs 0.000 0.000 0.000
Cr 2.852 2.852 2.852
Ga 0.000 0.000 2.852
Ga 0.000 2.852 0.000
Ga 2.852 0.000 0.000
```

[8]
VASP calculation (GGA-PBEsol) on a geometry-optimized Fe2HgIr structure.

Computed properties:
M_tot   5.79 μB/f.u.
ΔE_f   295.7 meV/atom
SG   Cmmm (65)
Volume   56.3 Å³/cell

extended XYZ file:
```
4
Lattice="2.718 -3.736 0.000 2.718 3.736 0.000 0.000 0.000 2.773" Properties=species:S:1:pos:R:3 pbc="T T T"
Fe 1.359 1.868 0.000
Fe 1.359 -1.868 0.000
Hg 0.000 0.000 1.387
Ir 2.718 0.000 1.387
```

[9]
VASP calculation (GGA-PBEsol) on a geometry-optimized La2HfTiZn structure.

Computed properties:
M_tot   2.71 μB/f.u.
ΔE_f   1063.4 meV/atom
SG   P4/mmm (123)
Volume   153.6 Å³/cell

extended XYZ file:
```
5
Lattice="5.529 0.000 0.000 0.000 5.529 0.000 0.000 0.000 5.025" Properties=species:S:1:pos:R:3 pbc="T T T"
La 0.000 2.765 0.000
La 2.765 0.000 0.000
Hf 0.000 0.000 0.000
Ti 2.765 2.765 2.512
Zn 0.000 0.000 2.512
```

[10]
VASP calculation (GGA-PBEsol) on a geometry-optimized LiCa4Sc structure.

Computed properties:
M_tot   1.03 μB/f.u.
ΔE_f   446.9 meV/atom
SG   F-43m (216)
Volume   224.4 Å³/cell

extended XYZ file:
```
6
Lattice="0.000 4.823 4.823 4.823 0.000 4.823 4.823 4.823 0.000" Properties=species:S:1:pos:R:3 pbc="T T T"
Li 0.000 0.000 0.000
Ca 3.625 3.625 3.625
Ca 6.021 6.021 3.625
Ca 6.021 3.625 6.021
Ca 3.625 6.021 6.021
Sc 7.234 7.234 7.234
```

[11]
VASP calculation (GGA-PBEsol) on a geometry-optimized Mn2TlRh structure.

Computed properties:
M_tot   7.88 μB/f.u.
Energy above the lowest structure with this stoichiometry   0.000 eV/f.u.
ΔE_f   305.8 meV/atom
SG   P4/mmm (123)
Volume   61.9 Å³/cell

extended XYZ file:
```
4
Lattice="3.999 0.000 0.000 0.000 3.999 0.000 0.000 0.000 3.868" Properties=species:S:1:pos:R:3 pbc="T T T"
Mn 0.000 1.999 0.000
Mn 1.999 0.000 0.000
Tl 0.000 0.000 1.934
Rh 1.999 1.999 1.934
```

[12]
VASP calculation (GGA-PBEsol) on a geometry-optimized Re3P structure.

Computed properties:
M_tot   0.00 μB/f.u.
Energy above the lowest structure with this stoichiometry   0.790 eV/f.u.
ΔE_f   35.4 meV/atom
SG   Imm2 (44)
Volume   57.7 Å³/cell

extended XYZ file:
```
4
Lattice="-1.435 4.690 2.142 1.435 -4.690 2.142 1.435 4.690 -2.142" Properties=species:S:1:pos:R:3 pbc="T T T"
Re 0.000 0.000 0.000
Re 0.000 2.706 1.111
Re 0.000 6.675 1.111
P 1.435 0.000 1.908
```

Question: Which formula does entry 12 have?
Answer: Re3P

Question: Which of these has the lowest volume?
Answer: Fe2HgIr

Question: Number 11 is which compound?
Answer: Mn2TlRh